Here is CsZn2HgF after structural relaxation from the Alexandria database. Energies are from PBE.

Values from the calculation:
- ΔE_f (raw): -0.5198 eV per atom
- Uncorrected energy: -0.120 Ry/atom
- Symmetry: P4/mmm

Unit cell a=4.974 b=4.974 c=8.158 alpha=90.00 beta=90.00 gamma=90.00
Sites, in units of the cell vectors:
Cs: 0.000 0.000 0.000
Zn: 0.000 0.500 0.500
Zn: 0.500 0.000 0.500
Hg: 0.000 0.000 0.500
F: 0.500 0.500 0.000